First-principles (PBE+U) data for a relaxed MnHgPbF6 crystal, as listed in the Alexandria database.

Cell lengths 5.9465, 5.9465, 10.0676 Å; angles 90.00, 90.00, 120.00 degrees
With the nearest neighbours (Å) after each atom.
Atoms (fractional coordinates):
Mn: 0.3333 0.6667 0.2500  6 F 2.15
Mn: 0.6667 0.3333 0.7500  6 F 2.15
Hg: 0.3333 0.6667 0.7500  6 F 2.35
Hg: 0.6667 0.3333 0.2500  6 F 2.35
Pb: 0.0000 0.0000 0.0000  6 F 2.49
Pb: 0.0000 0.0000 0.5000  6 F 2.49
F: 0.0256 0.3612 0.1367  1 Mn 2.15, 1 Hg 2.35
F: 0.0256 0.6644 0.3633  1 Mn 2.15, 1 Hg 2.35
F: 0.3356 0.3612 0.3633  1 Mn 2.15, 1 Hg 2.35
F: 0.3356 0.9744 0.1367  1 Mn 2.15, 1 Hg 2.35
F: 0.3612 0.0256 0.6367  1 Mn 2.15, 1 Hg 2.35
F: 0.3612 0.3356 0.8633  1 Mn 2.15, 1 Hg 2.35
F: 0.6388 0.6644 0.1367  1 Mn 2.15, 1 Hg 2.35
F: 0.6388 0.9744 0.3633  1 Mn 2.15, 1 Hg 2.35
F: 0.6644 0.0256 0.8633  1 Mn 2.15, 1 Hg 2.35
F: 0.6644 0.6388 0.6367  1 Mn 2.15, 1 Hg 2.35
F: 0.9744 0.3356 0.6367  1 Mn 2.15, 1 Hg 2.35
F: 0.9744 0.6388 0.8633  1 Mn 2.15, 1 Hg 2.35

Computed properties:
uncorrected energy: -84.250 eV per cell
ρ: 6.21 g/cm3
total magnetic moment: 0.56 μB per atom
D(E_F): 0.000 states/eV/f.u.
volume: 17.13 A^3/atom